Entry 1:
Compound: KNi2Pb2
Source: the Alexandria database
Functional: GGA-PBEsol
Structure: relaxed

Structure (POSCAR):
```
KNi2Pb2
1.0
-2.372 2.372 4.928
2.372 -2.372 4.928
2.372 2.372 -4.928
K Ni Pb
1 2 2
Direct
0.000 0.000 0.000 K
0.382 0.382 0.000 Ni
0.618 0.618 0.000 Ni
0.250 0.750 0.500 Pb
0.750 0.250 0.500 Pb
```

Calculated values
energy relative to the elements	0.228	eV per atom
density	8.55	g/cm3
total energy	-0.298	Ry/atom

=====

Entry 2:
Compound: KNi3Pb
Source: the Alexandria database
Functional: GGA-PBEsol
Structure: relaxed

Structure (POSCAR):
```
KNi3Pb
1.0
4.869 0.000 0.000
0.000 4.869 0.000
0.000 0.000 4.869
K Ni Pb
1 3 1
Direct
0.000 0.000 0.000 K
0.000 0.500 0.500 Ni
0.500 0.000 0.500 Ni
0.500 0.500 0.000 Ni
0.500 0.500 0.500 Pb
```

Calculated values
energy relative to the elements	1.022	eV per atom
density	6.08	g/cm3
total energy	-0.272	Ry/atom

=====

Entry 3:
Compound: K3NiPt
Source: the Alexandria database
Functional: GGA-PBEsol
Structure: relaxed

Structure (POSCAR):
```
K3NiPt
1.0
5.650 0.000 0.000
0.000 5.650 0.000
0.000 0.000 5.650
K Ni Pt
3 1 1
Direct
0.000 0.000 0.500 K
0.000 0.500 0.000 K
0.500 0.000 0.000 K
0.000 0.000 0.000 Ni
0.500 0.500 0.500 Pt
```

Calculated values
energy relative to the elements	0.957	eV per atom
density	3.42	g/cm3
total energy	-0.173	Ry/atom

=====

Entry 4:
Compound: KTa2NiPt
Source: the Alexandria database
Functional: GGA-PBEsol
Structure: relaxed

Structure (POSCAR):
```
KTa2NiPt
1.0
4.880 0.000 0.000
0.000 4.880 0.000
0.000 0.000 4.891
K Ta Ni Pt
1 2 1 1
Direct
0.000 0.000 0.000 K
0.000 0.500 0.500 Ta
0.500 0.000 0.500 Ta
0.500 0.500 0.000 Ni
0.500 0.500 0.500 Pt
```

Calculated values
energy relative to the elements	1.351	eV per atom
density	9.33	g/cm3
total energy	-0.479	Ry/atom

=====

Entry 5:
Compound: KReSiNi2
Source: the Alexandria database
Functional: GGA-PBEsol
Structure: relaxed

Structure (POSCAR):
```
KReSiNi2
1.0
4.148 0.000 0.000
0.000 4.148 0.000
0.000 0.000 4.922
K Re Si Ni
1 1 1 2
Direct
0.000 0.000 0.000 K
0.000 0.000 0.500 Re
0.500 0.500 0.500 Si
0.000 0.500 0.000 Ni
0.500 0.000 0.000 Ni
```

Calculated values
density	7.27	g/cm3
total energy	-0.276	Ry/atom
energy relative to the elements, uncorrected	13.78	eV/f.u.

=====

Entry 6:
Compound: KNi2Rh
Source: the Alexandria database
Functional: GGA-PBEsol
Structure: relaxed

Structure (POSCAR):
```
KNi2Rh
1.0
2.668 0.000 0.000
0.000 3.464 0.000
0.000 0.000 7.267
K Ni Rh
1 2 1
Direct
0.000 0.000 0.000 K
0.500 0.500 0.335 Ni
0.500 0.500 0.665 Ni
0.000 0.000 0.500 Rh
```

Calculated values
energy relative to the elements	0.501	eV per atom
density	6.41	g/cm3
polymorph energy (0 for the lowest one)	0	meV per atom
total energy	-0.360	Ry/atom

=====

Entry 7:
Compound: KNiRh2
Source: the Alexandria database
Functional: GGA-PBEsol
Structure: relaxed

Structure (POSCAR):
```
KNiRh2
1.0
-1.321 2.382 4.990
1.321 -2.382 4.990
1.321 2.382 -4.990
K Ni Rh
1 1 2
Direct
0.000 0.000 0.000 K
0.500 0.500 0.000 Ni
0.285 0.785 0.500 Rh
0.715 0.215 0.500 Rh
```

Calculated values
energy relative to the elements	0.650	eV per atom
density	8.03	g/cm3
polymorph energy (0 for the lowest one)	142	meV per atom
total energy	-0.385	Ry/atom

=====

Entry 8:
Compound: KNi2Rh
Source: the Alexandria database
Functional: GGA-PBEsol
Structure: relaxed

Structure (POSCAR):
```
KNi2Rh
1.0
4.700 0.000 0.000
0.000 4.700 0.000
0.000 0.000 2.618
K Ni Rh
1 2 1
Direct
0.000 0.000 0.000 K
0.000 0.500 0.500 Ni
0.500 0.000 0.500 Ni
0.500 0.500 0.000 Rh
```

Calculated values
energy relative to the elements	0.835	eV per atom
density	7.45	g/cm3
polymorph energy (0 for the lowest one)	334	meV per atom
total energy	-0.335	Ry/atom

=====

Entry 9:
Compound: KNiRh2
Source: the Alexandria database
Functional: GGA-PBEsol
Structure: relaxed

Structure (POSCAR):
```
KNiRh2
1.0
2.764 0.000 0.000
0.000 2.764 0.000
0.000 0.000 8.561
K Ni Rh
1 1 2
Direct
0.000 0.000 0.000 K
0.500 0.500 0.304 Ni
0.000 0.000 0.486 Rh
0.500 0.500 0.688 Rh
```

Calculated values
energy relative to the elements	0.508	eV per atom
density	7.71	g/cm3
polymorph energy (0 for the lowest one)	0	meV per atom
total energy	-0.396	Ry/atom

=====

Entry 10:
Compound: KNi2Rh
Source: the Alexandria database
Functional: GGA-PBEsol
Structure: relaxed

Structure (POSCAR):
```
KNi2Rh
1.0
-1.308 2.551 4.904
1.308 -2.551 4.904
1.308 2.551 -4.904
K Ni Rh
1 2 1
Direct
0.000 0.000 0.000 K
0.288 0.788 0.500 Ni
0.712 0.212 0.500 Ni
0.500 0.500 0.000 Rh
```

Calculated values
energy relative to the elements	0.887	eV per atom
density	6.58	g/cm3
polymorph energy (0 for the lowest one)	386	meV per atom
total energy	-0.331	Ry/atom

=====

Entry 11:
Compound: KNiRu2
Source: the Alexandria database
Functional: GGA-PBEsol
Structure: relaxed

Structure (POSCAR):
```
KNiRu2
1.0
2.577 0.000 0.000
0.000 3.553 0.000
0.000 0.000 7.792
K Ni Ru
1 1 2
Direct
0.000 0.000 0.000 K
0.000 0.000 0.500 Ni
0.500 0.500 0.343 Ru
0.500 0.500 0.657 Ru
```

Calculated values
energy relative to the elements	0.894	eV per atom
density	6.98	g/cm3
polymorph energy (0 for the lowest one)	116	meV per atom
total energy	-0.442	Ry/atom

=====

Entry 12:
Compound: KNiRu2
Source: the Alexandria database
Functional: GGA-PBEsol
Structure: relaxed

Structure (POSCAR):
```
KNiRu2
1.0
-1.294 2.575 4.952
1.294 -2.575 4.952
1.294 2.575 -4.952
K Ni Ru
1 1 2
Direct
0.000 0.000 0.000 K
0.277 0.777 0.500 Ni
0.490 0.490 0.000 Ru
0.707 0.207 0.500 Ru
```

Calculated values
energy relative to the elements	1.204	eV per atom
density	7.55	g/cm3
polymorph energy (0 for the lowest one)	426	meV per atom
total energy	-0.419	Ry/atom

=====

Entry 13:
Compound: K2NiRu
Source: the Alexandria database
Functional: GGA-PBEsol
Structure: relaxed

Structure (POSCAR):
```
K2NiRu
1.0
6.096 0.000 0.000
0.000 6.096 0.000
0.000 0.000 2.572
K Ni Ru
2 1 1
Direct
0.000 0.500 0.000 K
0.500 0.000 0.000 K
0.000 0.000 0.500 Ni
0.500 0.500 0.500 Ru
```

Calculated values
energy relative to the elements	1.467	eV per atom
density	4.13	g/cm3
total energy	-0.234	Ry/atom

=====

Entry 14:
Compound: KNiRu2
Source: the Alexandria database
Functional: GGA-PBEsol
Structure: relaxed

Structure (POSCAR):
```
KNiRu2
1.0
2.643 0.000 0.000
0.000 4.037 0.000
-1.288 0.000 6.974
K Ni Ru
1 1 2
Direct
0.000 0.000 0.000 K
0.658 0.500 0.318 Ni
0.308 0.500 0.626 Ru
0.750 0.000 0.506 Ru
```

Calculated values
energy relative to the elements	0.778	eV per atom
density	6.69	g/cm3
polymorph energy (0 for the lowest one)	0	meV per atom
total energy	-0.451	Ry/atom

=====

Entry 15:
Compound: K2Ni3S4
Source: the Alexandria database
Functional: GGA-PBEsol
Structure: relaxed

Structure (POSCAR):
```
K2Ni3S4
1.0
0.000 4.955 12.818
2.835 0.000 12.818
2.835 4.955 0.000
K Ni S
4 6 8
Direct
0.047 0.047 0.203 K
0.203 0.203 0.047 K
0.797 0.797 0.953 K
0.953 0.953 0.797 K
0.126 0.126 0.624 Ni
0.375 0.375 0.375 Ni
0.376 0.376 0.874 Ni
0.624 0.624 0.126 Ni
0.625 0.625 0.625 Ni
0.874 0.874 0.376 Ni
0.157 0.481 0.260 S
0.260 0.602 0.157 S
0.398 0.740 0.519 S
0.481 0.157 0.602 S
0.519 0.843 0.398 S
0.602 0.260 0.481 S
0.740 0.398 0.843 S
0.843 0.519 0.740 S
```

Calculated values
density	3.53	g/cm3
total energy	-0.368	Ry/atom
energy relative to the elements, uncorrected	-6.78	eV/f.u.

=====

Entry 16:
Compound: KNiS2
Source: the Alexandria database
Functional: GGA-PBEsol
Structure: relaxed

Structure (POSCAR):
```
KNiS2
1.0
-3.442 3.442 3.563
3.442 -3.442 3.563
3.442 3.442 -3.563
K Ni S
2 2 4
Direct
0.000 0.000 0.000 K
0.750 0.250 0.500 K
0.250 0.750 0.500 Ni
0.500 0.500 0.000 Ni
0.245 0.625 0.120 S
0.375 0.495 0.620 S
0.505 0.125 0.880 S
0.875 0.755 0.380 S
```

Calculated values
density	3.18	g/cm3
total energy	-0.340	Ry/atom
energy relative to the elements, uncorrected	-2.44	eV/f.u.

=====

Entry 17:
Compound: KNiSeS2
Source: the Alexandria database
Functional: GGA-PBEsol
Structure: relaxed

Structure (POSCAR):
```
KNiSeS2
1.0
5.310 0.000 0.000
0.000 5.310 0.000
0.000 0.000 4.308
K Ni Se S
1 1 1 2
Direct
0.000 0.000 0.000 K
0.000 0.000 0.500 Ni
0.500 0.500 0.500 Se
0.000 0.500 0.000 S
0.500 0.000 0.000 S
```

Calculated values
density	3.29	g/cm3
total energy	-0.169	Ry/atom
energy relative to the elements, uncorrected	8.39	eV/f.u.

=====

Entry 18:
Compound: K2NiSb
Source: the Alexandria database
Functional: GGA-PBEsol
Structure: relaxed

Structure (POSCAR):
```
K2NiSb
1.0
4.257 0.000 0.000
0.000 4.257 0.000
0.000 0.000 5.355
K Ni Sb
2 1 1
Direct
0.000 0.500 0.000 K
0.500 0.000 0.000 K
0.000 0.000 0.500 Ni
0.500 0.500 0.500 Sb
```

Calculated values
density	4.43	g/cm3
total energy	-0.215	Ry/atom
energy relative to the elements, uncorrected	1.26	eV/f.u.

=====

Entry 19:
Compound: KNiSb2Se
Source: the Alexandria database
Functional: GGA-PBEsol
Structure: relaxed

Structure (POSCAR):
```
KNiSb2Se
1.0
5.710 0.000 0.000
0.000 5.710 0.000
0.000 0.000 4.267
K Ni Sb Se
1 1 2 1
Direct
0.000 0.000 0.000 K
0.500 0.500 0.000 Ni
0.000 0.500 0.500 Sb
0.500 0.000 0.500 Sb
0.500 0.500 0.500 Se
```

Calculated values
density	5.02	g/cm3
total energy	-0.276	Ry/atom
energy relative to the elements, uncorrected	1.46	eV/f.u.

=====

Entry 20:
Compound: KNiSbTe2
Source: the Alexandria database
Functional: GGA-PBEsol
Structure: relaxed

Structure (POSCAR):
```
KNiSbTe2
1.0
5.753 0.000 0.000
0.000 5.753 0.000
0.000 0.000 5.614
K Ni Sb Te
1 1 1 2
Direct
0.000 0.000 0.000 K
0.500 0.500 0.500 Ni
0.000 0.000 0.500 Sb
0.000 0.500 0.000 Te
0.500 0.000 0.000 Te
```

Calculated values
density	4.24	g/cm3
total energy	-0.155	Ry/atom
energy relative to the elements, uncorrected	8.34	eV/f.u.

=====

Entry 21:
Compound: KScNi
Source: the Alexandria database
Functional: GGA-PBEsol
Structure: relaxed

Structure (POSCAR):
```
KScNi
1.0
-1.643 1.643 7.059
1.643 -1.643 7.059
1.643 1.643 -7.059
K Sc Ni
1 1 1
Direct
0.000 0.000 0.000 K
0.749 0.749 0.000 Sc
0.326 0.326 0.000 Ni
```

Calculated values
energy relative to the elements	0.232	eV per atom
density	3.11	g/cm3
total energy	-0.323	Ry/atom

=====

Entry 22:
Compound: KNiSe2
Source: the Alexandria database
Functional: GGA-PBEsol
Structure: relaxed

Structure (POSCAR):
```
KNiSe2
1.0
4.925 0.000 0.000
0.000 3.673 0.000
-0.048 0.000 5.657
K Ni Se
1 1 2
Direct
0.000 0.000 0.000 K
0.500 0.000 0.500 Ni
0.498 0.500 0.743 Se
0.502 0.500 0.257 Se
```

Calculated values
density	4.15	g/cm3
total energy	-0.316	Ry/atom
energy relative to the elements, uncorrected	-2.21	eV/f.u.

=====

Entry 23:
Compound: K2Ni3Se4
Source: the Alexandria database
Functional: GGA-PBEsol
Structure: relaxed

Structure (POSCAR):
```
K2Ni3Se4
1.0
0.000 5.179 12.992
2.979 0.000 12.992
2.979 5.179 0.000
K Ni Se
4 6 8
Direct
0.051 0.051 0.199 K
0.199 0.199 0.051 K
0.801 0.801 0.949 K
0.949 0.949 0.801 K
0.126 0.126 0.624 Ni
0.375 0.375 0.375 Ni
0.376 0.376 0.874 Ni
0.624 0.624 0.126 Ni
0.625 0.625 0.625 Ni
0.874 0.874 0.376 Ni
0.154 0.478 0.262 Se
0.262 0.606 0.154 Se
0.394 0.738 0.522 Se
0.478 0.154 0.606 Se
0.522 0.846 0.394 Se
0.606 0.262 0.478 Se
0.738 0.394 0.846 Se
0.846 0.522 0.738 Se
```

Calculated values
density	4.72	g/cm3
total energy	-0.341	Ry/atom
energy relative to the elements, uncorrected	-5.57	eV/f.u.

=====

Entry 24:
Compound: KSi2Ni
Source: the Alexandria database
Functional: GGA-PBEsol
Structure: relaxed

Structure (POSCAR):
```
KSi2Ni
1.0
2.903 0.000 0.000
0.000 2.903 0.000
0.000 0.000 7.894
K Si Ni
1 2 1
Direct
0.000 0.000 0.000 K
0.500 0.500 0.331 Si
0.500 0.500 0.669 Si
0.000 0.000 0.500 Ni
```

Calculated values
density	3.84	g/cm3
polymorph energy (0 for the lowest one)	137	meV per atom
total energy	-0.350	Ry/atom
energy relative to the elements, uncorrected	-0.26	eV/f.u.

=====

Entry 25:
Compound: KSi2Ni
Source: the Alexandria database
Functional: GGA-PBEsol
Structure: relaxed

Structure (POSCAR):
```
KSi2Ni
1.0
3.870 0.000 0.000
0.000 3.870 0.000
0.000 0.000 4.490
K Si Ni
1 2 1
Direct
0.000 0.000 0.000 K
0.000 0.500 0.500 Si
0.500 0.000 0.500 Si
0.500 0.500 0.000 Ni
```

Calculated values
density	3.80	g/cm3
polymorph energy (0 for the lowest one)	942	meV per atom
total energy	-0.291	Ry/atom
energy relative to the elements, uncorrected	2.96	eV/f.u.

=====

Entry 26:
Compound: KSi2Ni
Source: the Alexandria database
Functional: GGA-PBEsol
Structure: relaxed

Structure (POSCAR):
```
KSi2Ni
1.0
1.455 0.840 9.064
-1.455 0.840 9.064
0.000 -1.680 9.064
K Si Ni
1 2 1
Direct
0.000 0.000 0.000 K
0.229 0.229 0.229 Si
0.771 0.771 0.771 Si
0.500 0.500 0.500 Ni
```

Calculated values
density	3.85	g/cm3
polymorph energy (0 for the lowest one)	375	meV per atom
total energy	-0.332	Ry/atom
energy relative to the elements, uncorrected	0.69	eV/f.u.

=====

Entry 27:
Compound: KSi2Ni
Source: the Alexandria database
Functional: GGA-PBEsol
Structure: relaxed

Structure (POSCAR):
```
KSi2Ni
1.0
1.937 1.119 6.289
-1.937 1.119 6.289
0.000 -2.237 6.289
K Si Ni
1 2 1
Direct
0.000 0.000 0.000 K
0.196 0.196 0.196 Si
0.465 0.465 0.465 Si
0.826 0.826 0.826 Ni
```

Calculated values
density	3.13	g/cm3
polymorph energy (0 for the lowest one)	0	meV per atom
total energy	-0.360	Ry/atom
energy relative to the elements, uncorrected	-0.81	eV/f.u.

=====

Entry 28:
Compound: KSi2Ni
Source: the Alexandria database
Functional: GGA-PBEsol
Structure: relaxed

Structure (POSCAR):
```
KSi2Ni
1.0
0.000 3.195 3.195
3.195 0.000 3.195
3.195 3.195 0.000
K Si Ni
1 2 1
Direct
0.000 0.000 0.000 K
0.250 0.250 0.250 Si
0.500 0.500 0.500 Si
0.750 0.750 0.750 Ni
```

Calculated values
density	3.92	g/cm3
polymorph energy (0 for the lowest one)	911	meV per atom
total energy	-0.293	Ry/atom
energy relative to the elements, uncorrected	2.84	eV/f.u.